[1]
# PBE La2SiPd3, optimized geometry
data_La2SiPd3
_chemical_formula_sum 'La16 Si8 Pd24'
_space_group_name_H-M_alt 'F m m m'
_space_group_IT_number 69
_space_group_name_Hall '-F 2 2'
_cell_length_a 7.959
_cell_length_b 8.822
_cell_length_c 15.488
_cell_angle_alpha 90.00
_cell_angle_beta 90.00
_cell_angle_gamma 90.00
loop_
_atom_site_label
_atom_site_type_symbol
_atom_site_fract_x
_atom_site_fract_y
_atom_site_fract_z
_atom_site_occupancy
La1 La 0.248 0.000 0.000 1
La2 La 0.250 0.250 0.250 1
Si1 Si 0.000 0.000 0.334 1
Pd1 Pd 0.000 0.000 0.178 1
Pd2 Pd 0.000 0.234 0.412 1
# - ΔE_f (raw) (kJ/mol of atoms) = -81.67
# - magnetization (μB per cell) = 0.00
# - crystal system = orthorhombic

---

[2]
# PBE LaSi2Pd2, optimized geometry
data_LaSi2Pd2
_chemical_formula_sum 'La2 Si4 Pd4'
_space_group_name_H-M_alt 'P 4/m b m'
_space_group_IT_number 127
_space_group_name_Hall '-P 4 2ab'
_cell_length_a 7.791
_cell_length_b 7.791
_cell_length_c 2.973
_cell_angle_alpha 90.00
_cell_angle_beta 90.00
_cell_angle_gamma 90.00
loop_
_atom_site_label
_atom_site_type_symbol
_atom_site_fract_x
_atom_site_fract_y
_atom_site_fract_z
_atom_site_occupancy
La1 La 0.000 0.000 0.000 1
Si1 Si 0.133 0.367 0.000 1
Pd1 Pd 0.141 0.641 0.500 1
# - ΔE_f (raw) (kJ/mol of atoms) = -40.42
# - magnetization (μB per cell) = 0.00
# - crystal system = tetragonal